# CaPmIrPd

CaPmIrPd after structural relaxation (GGA-PBE, Alexandria). Values from VASP.

Cell and atoms, written as Quantum ESPRESSO input:
```
&SYSTEM
  ibrav = 0, nat = 4, ntyp = 4
/
ATOMIC_SPECIES
Ca 40.08 Ca.upf
Ir 192.22 Ir.upf
Pd 106.42 Pd.upf
Pm 145.00 Pm.upf
ATOMIC_POSITIONS crystal
Ca 0.750 0.750 0.750
Ir 0.000 0.000 0.000
Pd 0.500 0.500 0.500
Pm 0.250 0.250 0.250
CELL_PARAMETERS angstrom
4.963 0.000 0.000
2.482 4.298 0.000
2.482 1.433 4.053
```

## Properties
mass density = 9.290 Mg/m³
uncorrected energy = -5.82 eV per atom
Fermi-level density of states = 1.31 states/eV/cell
calculated formation energy = -0.617 eV/atom
SG = F-43m, No. 216

***

# PrFeCo10

PrFeCo10 after structural relaxation (GGA-PBE, Alexandria). Values from VASP.

Cell and atoms, written as Quantum ESPRESSO input:
```
&SYSTEM
  ibrav = 0, nat = 12, ntyp = 3
/
ATOMIC_SPECIES
Pr 140.91 Pr.upf
Fe 55.84 Fe.upf
Co 58.93 Co.upf
ATOMIC_POSITIONS crystal
Pr 0.000 0.500 0.500
Fe 0.000 0.000 0.000
Co 0.000 0.000 0.290
Co 0.000 0.500 0.854
Co 0.000 0.500 0.146
Co 0.000 0.000 0.710
Co 0.500 0.000 0.500
Co 0.500 0.500 0.000
Co 0.500 0.245 0.239
Co 0.500 0.755 0.761
Co 0.500 0.755 0.239
Co 0.500 0.245 0.761
CELL_PARAMETERS angstrom
-0.705 3.970 -0.291
-3.347 -0.832 -3.253
-5.788 -0.580 6.103
```

## Properties
mass density = 8.079 Mg/m³
uncorrected energy = -6.90 eV per atom
Fermi-level density of states = 13.75 states/eV/cell
calculated formation energy = 0.128 eV/atom
SG = Pmmm, No. 47

***

# Cs4Ac3InSe8

Cs4Ac3InSe8 after structural relaxation (GGA-PBE, Alexandria). Values from VASP.

Cell and atoms, written as Quantum ESPRESSO input:
```
&SYSTEM
  ibrav = 0, nat = 16, ntyp = 4
/
ATOMIC_SPECIES
Cs 132.91 Cs.upf
Ac 227.00 Ac.upf
In 114.82 In.upf
Se 78.96 Se.upf
ATOMIC_POSITIONS crystal
Cs 0.500 0.000 0.000
Cs 0.500 0.000 0.500
Cs 0.000 0.000 0.000
Cs 0.000 0.000 0.500
Ac 0.500 0.500 0.000
Ac 0.500 0.500 0.500
Ac 0.000 0.500 0.500
In 0.000 0.500 0.000
Se 0.221 0.691 0.970
Se 0.221 0.692 0.442
Se 0.267 0.301 0.534
Se 0.750 0.691 0.970
Se 0.250 0.309 0.030
Se 0.733 0.699 0.466
Se 0.779 0.308 0.558
Se 0.779 0.309 0.030
CELL_PARAMETERS angstrom
9.069 0.000 0.000
0.000 9.928 0.590
-4.535 -4.526 6.423
```

## Properties
formation energy without anion corrections = -1.51 eV per atom
mass density = 5.400 Mg/m³
uncorrected energy = -4.41 eV per atom
SG = R-3m, No. 166